First-principles (meta-GGA SCAN) data for a PBEsol-optimized structure of NaCdPO2, as listed in the Alexandria database.

Computed properties:
Formation energy (no corrections) ... 0.170 eV per atom
DOS at the Fermi energy ... 3.18 states/eV per cell
Electronic total energy ... -0.4163 Ha/atom
Total moment ... 3.1 Bohr magnetons per cell

The structure in CIF format:
```
data_NaCdPO2
_cell_length_a 4.267
_cell_length_b 4.267
_cell_length_c 4.980
_cell_angle_alpha 90.00
_cell_angle_beta 90.00
_cell_angle_gamma 90.00
_space_group_name_H-M_alt 'P 4/m m m'
_space_group_IT_number 123
_space_group_name_Hall '-P 4 2'
loop_
_atom_site_label
_atom_site_fract_x
_atom_site_fract_y
_atom_site_fract_z
Na1 0.000 0.000 0.000
Cd1 0.500 0.500 0.500
P1 0.500 0.500 0.000
O1 0.000 0.500 0.500
```

First-principles (meta-GGA SCAN) data for a PBEsol-optimized structure of NaCdP2O, as listed in the Alexandria database.

Computed properties:
Formation energy (no corrections) ... 0.976 eV per atom
DOS at the Fermi energy ... 2.79 states/eV per cell
Electronic total energy ... -0.4173 Ha/atom
Total moment ... 2.1 Bohr magnetons per cell

The structure in CIF format:
```
data_NaCdP2O
_cell_length_a 4.884
_cell_length_b 4.884
_cell_length_c 3.966
_cell_angle_alpha 90.00
_cell_angle_beta 90.00
_cell_angle_gamma 90.00
_space_group_name_H-M_alt 'P 4/m m m'
_space_group_IT_number 123
_space_group_name_Hall '-P 4 2'
loop_
_atom_site_label
_atom_site_fract_x
_atom_site_fract_y
_atom_site_fract_z
Na1 0.000 0.000 0.000
Cd1 0.500 0.500 0.500
P1 0.000 0.500 0.000
O1 0.000 0.000 0.500
```

First-principles (meta-GGA SCAN) data for a PBEsol-optimized structure of Na2Cd3P4O14, as listed in the Alexandria database.

Computed properties:
Formation energy (no corrections) ... -2.260 eV per atom
DOS at the Fermi energy ... 0.00 states/eV per cell
Electronic total energy ... -0.4482 Ha/atom
Total moment ... 0.0 Bohr magnetons per cell

The structure in CIF format:
```
data_Na2Cd3P4O14
_cell_length_a 5.659
_cell_length_b 7.056
_cell_length_c 7.869
_cell_angle_alpha 77.16
_cell_angle_beta 82.59
_cell_angle_gamma 67.99
_space_group_name_H-M_alt 'P -1'
_space_group_IT_number 2
loop_
_space_group_symop_operation_xyz
'x,y,z'
'-x,-y,-z'
loop_
_atom_site_label
_atom_site_fract_x
_atom_site_fract_y
_atom_site_fract_z
Na1 0.088 0.008 0.182
Cd1 0.313 0.464 0.194
Cd2 0.500 0.000 0.500
P1 0.153 0.673 0.576
P2 0.301 0.266 0.834
O1 0.046 0.266 0.926
O2 0.129 0.238 0.357
O3 0.186 0.699 0.380
O4 0.246 0.428 0.648
O5 0.315 0.763 0.656
O6 0.444 0.345 0.940
O7 0.465 0.062 0.777
```

First-principles (meta-GGA SCAN) data for a PBEsol-optimized structure of NaCdRh4O8, as listed in the Alexandria database.

Computed properties:
Formation energy (no corrections) ... -1.160 eV per atom
DOS at the Fermi energy ... 20.26 states/eV per cell
Electronic total energy ... -0.6190 Ha/atom
Total moment ... 0.0 Bohr magnetons per cell

The structure in CIF format:
```
data_NaCdRh4O8
_cell_length_a 8.998
_cell_length_b 3.056
_cell_length_c 10.780
_cell_angle_alpha 90.00
_cell_angle_beta 90.46
_cell_angle_gamma 90.00
_space_group_name_H-M_alt 'P 1 21/m 1'
_space_group_IT_number 11
loop_
_space_group_symop_operation_xyz
'x,y,z'
'-x,-y,-z'
'-x,y+1/2,-z'
'x,-y+1/2,z'
loop_
_atom_site_label
_atom_site_fract_x
_atom_site_fract_y
_atom_site_fract_z
Na1 0.235 0.250 0.158
Cd1 0.264 0.750 0.661
Rh1 0.057 0.250 0.383
Rh2 0.089 0.250 0.901
Rh3 0.408 0.750 0.399
Rh4 0.449 0.750 0.884
O1 0.049 0.750 0.785
O2 0.086 0.250 0.569
O3 0.114 0.750 0.023
O4 0.194 0.750 0.338
O5 0.304 0.250 0.837
O6 0.383 0.250 0.527
O7 0.416 0.750 0.068
O8 0.469 0.250 0.291
```

First-principles (meta-GGA SCAN) data for a PBEsol-optimized structure of Na3CdRh8O16, as listed in the Alexandria database.

Computed properties:
Formation energy (no corrections) ... -1.212 eV per atom
DOS at the Fermi energy ... 18.03 states/eV per cell
Electronic total energy ... -0.5865 Ha/atom
Total moment ... 0.0 Bohr magnetons per cell

The structure in CIF format:
```
data_Na3CdRh8O16
_cell_length_a 8.947
_cell_length_b 3.052
_cell_length_c 10.752
_cell_angle_alpha 90.00
_cell_angle_beta 90.18
_cell_angle_gamma 90.00
_space_group_name_H-M_alt 'P 1 m 1'
_space_group_IT_number 6
loop_
_space_group_symop_operation_xyz
'x,y,z'
'x,-y,z'
loop_
_atom_site_label
_atom_site_fract_x
_atom_site_fract_y
_atom_site_fract_z
Na1 0.000 0.000 0.000
Na2 0.029 0.500 0.501
Na3 0.529 0.500 0.686
Cd1 0.502 0.000 0.184
Rh1 0.174 0.500 0.244
Rh2 0.210 0.500 0.727
Rh3 0.318 0.000 0.959
Rh4 0.352 0.000 0.449
Rh5 0.677 0.500 0.941
Rh6 0.710 0.500 0.461
Rh7 0.824 0.000 0.227
Rh8 0.854 0.000 0.739
O1 0.070 0.000 0.685
O2 0.148 0.000 0.367
O3 0.183 0.500 0.911
O4 0.237 0.000 0.136
O5 0.300 0.500 0.557
O6 0.348 0.000 0.774
O7 0.381 0.500 0.321
O8 0.462 0.500 0.007
O9 0.571 0.000 0.504
O10 0.653 0.000 0.819
O11 0.681 0.500 0.275
O12 0.718 0.000 0.058
O13 0.802 0.500 0.629
O14 0.848 0.000 0.413
O15 0.882 0.500 0.862
O16 0.961 0.500 0.182
```

First-principles (meta-GGA SCAN) data for a PBEsol-optimized structure of Na2CdS2O8, as listed in the Alexandria database.

Computed properties:
Formation energy (no corrections) ... -1.849 eV per atom
DOS at the Fermi energy ... 0.00 states/eV per cell
Electronic total energy ... -0.3731 Ha/atom
Total moment ... 0.0 Bohr magnetons per cell

The structure in CIF format:
```
data_Na2CdS2O8
_cell_length_a 10.065
_cell_length_b 8.212
_cell_length_c 8.690
_cell_angle_alpha 90.00
_cell_angle_beta 114.60
_cell_angle_gamma 90.00
_space_group_name_H-M_alt 'C 1 2/c 1'
_space_group_IT_number 15
loop_
_space_group_symop_operation_xyz
'x,y,z'
'-x,-y,-z'
'-x,y,-z+1/2'
'x,-y,z+1/2'
'x+1/2,y+1/2,z'
'-x+1/2,-y+1/2,-z'
'-x+1/2,y+1/2,-z+1/2'
'x+1/2,-y+1/2,z+1/2'
loop_
_atom_site_label
_atom_site_fract_x
_atom_site_fract_y
_atom_site_fract_z
Na1 0.138 0.056 0.437
Cd1 0.000 0.432 0.750
S1 0.189 0.287 0.186
O1 0.115 0.128 0.133
O2 0.138 0.410 0.049
O3 0.149 0.230 0.749
O4 0.158 0.350 0.330
```

First-principles (meta-GGA SCAN) data for a PBEsol-optimized structure of Na2Cd3Si3O10, as listed in the Alexandria database.

Computed properties:
Formation energy (no corrections) ... -2.330 eV per atom
DOS at the Fermi energy ... 0.00 states/eV per cell
Electronic total energy ... -0.4777 Ha/atom
Total moment ... 0.0 Bohr magnetons per cell

The structure in CIF format:
```
data_Na2Cd3Si3O10
_cell_length_a 16.597
_cell_length_b 5.122
_cell_length_c 11.004
_cell_angle_alpha 90.00
_cell_angle_beta 94.16
_cell_angle_gamma 90.00
_space_group_name_H-M_alt 'C 1 2/c 1'
_space_group_IT_number 15
loop_
_space_group_symop_operation_xyz
'x,y,z'
'-x,-y,-z'
'-x,y,-z+1/2'
'x,-y,z+1/2'
'x+1/2,y+1/2,z'
'-x+1/2,-y+1/2,-z'
'-x+1/2,y+1/2,-z+1/2'
'x+1/2,-y+1/2,z+1/2'
loop_
_atom_site_label
_atom_site_fract_x
_atom_site_fract_y
_atom_site_fract_z
Na1 0.047 0.238 0.468
Cd1 0.158 0.212 0.206
Cd2 0.250 0.250 0.500
Si1 0.000 0.182 0.750
Si2 0.151 0.308 0.899
O1 0.046 0.013 0.652
O2 0.062 0.391 0.827
O3 0.149 0.441 0.034
O4 0.157 0.009 0.396
O5 0.220 0.468 0.828
```

First-principles (meta-GGA SCAN) data for a PBEsol-optimized structure of NaCd2Si3O9, as listed in the Alexandria database.

Computed properties:
Formation energy (no corrections) ... -2.346 eV per atom
Electronic total energy ... -0.4566 Ha/atom
Total moment ... 2.0 Bohr magnetons per cell

The structure in CIF format:
```
data_NaCd2Si3O9
_cell_length_a 6.892
_cell_length_b 6.977
_cell_length_c 7.859
_cell_angle_alpha 94.93
_cell_angle_beta 102.39
_cell_angle_gamma 90.28
_space_group_name_H-M_alt 'P -1'
_space_group_IT_number 2
loop_
_space_group_symop_operation_xyz
'x,y,z'
'-x,-y,-z'
loop_
_atom_site_label
_atom_site_fract_x
_atom_site_fract_y
_atom_site_fract_z
Na1 0.239 0.151 0.439
Cd1 0.088 0.648 0.855
Cd2 0.413 0.362 0.149
Si1 0.093 0.158 0.784
Si2 0.236 0.646 0.456
Si3 0.449 0.847 0.213
O1 0.005 0.048 0.190
O2 0.031 0.773 0.406
O3 0.109 0.332 0.937
O4 0.209 0.444 0.332
O5 0.290 0.625 0.664
O6 0.311 0.106 0.740
O7 0.340 0.050 0.175
O8 0.391 0.675 0.057
O9 0.411 0.781 0.401
```

First-principles (meta-GGA SCAN) data for a PBEsol-optimized structure of Na4Cd2Si3O10, as listed in the Alexandria database.

Computed properties:
Formation energy (no corrections) ... -2.392 eV per atom
DOS at the Fermi energy ... 0.00 states/eV per cell
Electronic total energy ... -0.4168 Ha/atom
Total moment ... 0.0 Bohr magnetons per cell

The structure in CIF format:
```
data_Na4Cd2Si3O10
_cell_length_a 9.927
_cell_length_b 5.868
_cell_length_c 17.660
_cell_angle_alpha 90.00
_cell_angle_beta 99.63
_cell_angle_gamma 90.00
_space_group_name_H-M_alt 'C 1 2/c 1'
_space_group_IT_number 15
loop_
_space_group_symop_operation_xyz
'x,y,z'
'-x,-y,-z'
'-x,y,-z+1/2'
'x,-y,z+1/2'
'x+1/2,y+1/2,z'
'-x+1/2,-y+1/2,-z'
'-x+1/2,y+1/2,-z+1/2'
'x+1/2,-y+1/2,z+1/2'
loop_
_atom_site_label
_atom_site_fract_x
_atom_site_fract_y
_atom_site_fract_z
Na1 0.174 0.105 0.243
Na2 0.245 0.428 0.439
Cd1 0.098 0.401 0.085
Si1 0.000 0.382 0.750
Si2 0.065 0.106 0.899
O1 0.061 0.333 0.953
O2 0.078 0.036 0.115
O3 0.092 0.206 0.813
O4 0.110 0.472 0.212
O5 0.199 0.052 0.428
```

First-principles (meta-GGA SCAN) data for a PBEsol-optimized structure of NaV4Cd3O12, as listed in the Alexandria database.

Computed properties:
Formation energy (no corrections) ... -2.152 eV per atom
DOS at the Fermi energy ... 7.00 states/eV per cell
Electronic total energy ... -0.5204 Ha/atom
Total moment ... 0.0 Bohr magnetons per cell

The structure in CIF format:
```
data_NaV4Cd3O12
_cell_length_a 5.227
_cell_length_b 7.459
_cell_length_c 5.279
_cell_angle_alpha 90.00
_cell_angle_beta 90.54
_cell_angle_gamma 90.00
_space_group_name_H-M_alt 'P 1 m 1'
_space_group_IT_number 6
loop_
_space_group_symop_operation_xyz
'x,y,z'
'x,-y,z'
loop_
_atom_site_label
_atom_site_fract_x
_atom_site_fract_y
_atom_site_fract_z
Na1 0.000 0.000 0.000
V1 0.000 0.247 0.471
V2 0.492 0.246 0.971
Cd1 0.495 0.000 0.499
Cd2 0.503 0.500 0.438
Cd3 0.986 0.500 0.940
O1 0.072 0.500 0.481
O2 0.209 0.218 0.755
O3 0.289 0.209 0.261
O4 0.415 0.500 0.993
O5 0.556 0.000 0.951
O6 0.704 0.290 0.679
O7 0.788 0.286 0.178
O8 0.924 0.000 0.462
```

First-principles (meta-GGA SCAN) data for a PBEsol-optimized structure of NaCd2Os2, as listed in the Alexandria database.

Computed properties:
Energy of formation from the pure elements ... 850 meV/atom
DOS at the Fermi energy ... 5.05 states/eV per cell
Electronic total energy ... -1.5035 Ha/atom
Total moment ... 1.9 Bohr magnetons per cell

The structure in CIF format:
```
data_NaCd2Os2
_cell_length_a 4.919
_cell_length_b 4.919
_cell_length_c 8.820
_cell_angle_alpha 90.00
_cell_angle_beta 90.00
_cell_angle_gamma 90.00
_space_group_name_H-M_alt 'I 4/m m m'
_space_group_IT_number 139
_space_group_name_Hall '-I 4 2'
loop_
_atom_site_label
_atom_site_fract_x
_atom_site_fract_y
_atom_site_fract_z
Na1 0.000 0.000 0.000
Cd1 0.000 0.500 0.250
Os1 0.000 0.000 0.374
```

First-principles (meta-GGA SCAN) data for a PBEsol-optimized structure of NaCd3P, as listed in the Alexandria database.

Computed properties:
Energy of formation from the pure elements ... 286 meV/atom
DOS at the Fermi energy ... 2.69 states/eV per cell
Electronic total energy ... -0.7675 Ha/atom
Total moment ... 0.0 Bohr magnetons per cell

The structure in CIF format:
```
data_NaCd3P
_cell_length_a 5.169
_cell_length_b 5.169
_cell_length_c 5.169
_cell_angle_alpha 90.00
_cell_angle_beta 90.00
_cell_angle_gamma 90.00
_space_group_name_H-M_alt 'P m -3 m'
_space_group_IT_number 221
_space_group_name_Hall '-P 4 2 3'
loop_
_atom_site_label
_atom_site_fract_x
_atom_site_fract_y
_atom_site_fract_z
Na1 0.000 0.000 0.000
Cd1 0.000 0.500 0.500
P1 0.500 0.500 0.500
```